The following is a DFT calculation (GGA-PBE) of ZrAs2PtBr after structural relaxation.

Results
Energy relative to the lowest polymorph listed for this composition ... 151 meV per atom
Formation energy without anion corrections ... 12.9 kcal/mol of atoms
Total magnetic moment ... 0.00 μB/f.u.
DOS(E_F) ... 5.40 states/eV/f.u.
SG ... P4/mmm (123)

```
ZrAs2PtBr
1.0
5.2414 0.0000 0.0000
0.0000 5.2414 0.0000
0.0000 0.0000 5.0487
Br Pt As Zr
1 1 2 1
direct
0.0000 0.0000 0.5000
0.5000 0.5000 0.5000
0.5000 0.0000 0.0000
0.0000 0.5000 0.0000
0.0000 0.0000 0.0000
```



The following is a DFT calculation (GGA-PBE) of ZrAs2PtBr after structural relaxation.

Results
Energy relative to the lowest polymorph listed for this composition ... 0 meV per atom
Formation energy without anion corrections ... 9.4 kcal/mol of atoms
Total magnetic moment ... 0.01 μB/f.u.
DOS(E_F) ... 3.01 states/eV/f.u.
SG ... P4/mmm (123)

```
ZrAs2PtBr
1.0
4.8863 0.0000 0.0000
0.0000 4.8863 0.0000
0.0000 0.0000 4.9997
Pt As Br Zr
1 2 1 1
direct
0.0000 0.0000 0.0000
0.0000 0.5000 0.0000
0.5000 0.0000 0.0000
0.0000 0.0000 0.5000
0.5000 0.5000 0.5000
```



> The highest DOS(E_F) belongs to which entry?

number 1